VASP calculation (GGA-PBE) on a relaxed structure of Nd4BiP2.

Unit cell a=7.192 b=7.192 c=14.111 alpha=90.00 beta=90.00 gamma=145.39
Fractional coordinates of all 14 atoms:
1 Nd 0.000 0.000 0.000
2 Nd 0.000 0.000 0.500
3 Nd 0.265 0.735 0.614
4 Nd 0.265 0.735 0.886
5 Nd 0.436 0.564 0.250
6 Nd 0.564 0.436 0.750
7 Nd 0.735 0.265 0.114
8 Nd 0.735 0.265 0.386
9 Bi 0.108 0.892 0.250
10 Bi 0.892 0.108 0.750
11 P 0.365 0.635 0.060
12 P 0.365 0.635 0.440
13 P 0.635 0.365 0.560
14 P 0.635 0.365 0.940

Values from the calculation:
**Electronic total energy**: -6.01 eV per atom
**D(E_F)**: 9.5 states/eV per cell
**Magnetization**: 1.3 μB per cell
**V**: 414.5 Å³ per cell
**E_form**: -1185 meV per atom
**Symmetry**: Cmcm, No. 63

VASP calculation (GGA-PBE) on a relaxed structure of LaCdPd2.

Unit cell a=3.517 b=3.517 c=6.832 alpha=90.00 beta=90.00 gamma=90.00
Fractional coordinates of all 4 atoms:
1 La 0.000 0.000 0.000
2 Cd 0.000 0.000 0.500
3 Pd 0.500 0.500 0.283
4 Pd 0.500 0.500 0.717

Values from the calculation:
**Electronic total energy**: -4.63 eV per atom
**D(E_F)**: 2.1 states/eV per cell
**Magnetization**: 0.0 μB per cell
**V**: 84.5 Å³ per cell
**E_form**: -570 meV per atom
**Symmetry**: P4/mmm, No. 123

VASP calculation (GGA-PBE) on a relaxed structure of Ni2PdPtI.

Unit cell a=4.600 b=4.600 c=5.054 alpha=90.00 beta=90.00 gamma=90.00
Fractional coordinates of all 5 atoms:
1 Ni 0.000 0.500 0.000
2 Ni 0.500 0.000 0.000
3 Pd 0.000 0.000 0.000
4 Pt 0.500 0.500 0.500
5 I 0.000 0.000 0.500

Values from the calculation:
**Electronic total energy**: -3.56 eV per atom
**D(E_F)**: 13.2 states/eV per cell
**Magnetization**: 2.0 μB per cell
**V**: 106.9 Å³ per cell
**Symmetry**: P4/mmm, No. 123

VASP calculation (GGA-PBE) on a relaxed structure of SbRhW2.

Unit cell a=9.301 b=3.269 c=4.721 alpha=90.00 beta=107.71 gamma=90.00
Fractional coordinates of all 8 atoms:
1 Sb 0.000 0.000 0.000
2 Sb 0.500 0.500 0.000
3 Rh 0.240 0.500 0.159
4 Rh 0.740 0.000 0.159
5 W 0.009 0.500 0.511
6 W 0.236 0.000 0.661
7 W 0.509 0.000 0.511
8 W 0.736 0.500 0.661

Values from the calculation:
**Electronic total energy**: -9.03 eV per atom
**D(E_F)**: 4.4 states/eV per cell
**Magnetization**: 0.0 μB per cell
**V**: 136.7 Å³ per cell
**Symmetry**: Cm, No. 8

VASP calculation (GGA-PBE) on a relaxed structure of Pr2YTe3.

Unit cell a=4.474 b=6.316 c=13.486 alpha=90.00 beta=90.00 gamma=90.00
Fractional coordinates of all 12 atoms:
1 Pr 0.000 0.000 0.174
2 Pr 0.000 0.000 0.826
3 Pr 0.500 0.500 0.326
4 Pr 0.500 0.500 0.674
5 Y 0.000 0.000 0.500
6 Y 0.500 0.500 0.000
7 Te 0.000 0.500 0.157
8 Te 0.000 0.500 0.500
9 Te 0.000 0.500 0.843
10 Te 0.500 0.000 0.000
11 Te 0.500 0.000 0.343
12 Te 0.500 0.000 0.657

Values from the calculation:
**Electronic total energy**: -5.64 eV per atom
**D(E_F)**: 6.4 states/eV per cell
**Magnetization**: 0.0 μB per cell
**V**: 381.1 Å³ per cell
**Symmetry**: Immm, No. 71

VASP calculation (GGA-PBE) on a relaxed structure of FeTcBr4.

Unit cell a=6.152 b=6.152 c=6.152 alpha=60.00 beta=60.00 gamma=60.00
Fractional coordinates of all 6 atoms:
1 Fe 0.000 0.000 0.000
2 Tc 0.750 0.750 0.750
3 Br 0.375 0.375 0.375
4 Br 0.375 0.375 0.876
5 Br 0.375 0.876 0.375
6 Br 0.876 0.375 0.375

Values from the calculation:
**Electronic total energy**: -2.72 eV per atom
**D(E_F)**: 14.0 states/eV per cell
**Magnetization**: 6.9 μB per cell
**V**: 164.6 Å³ per cell
**Symmetry**: F-43m, No. 216